The following is a PBE calculation of an optimized crystal structure of Tb3Dy2Bi3, from the Alexandria database.

Properties
E_tot   -40.4 eV per formula unit
ΔE_f   -703 meV/atom
Crystal system   hexagonal
Size of the total moment   0.002 μB/atom

Lattice parameters (Å, degrees): 9.1988 9.1988 6.3953 90.00 90.00 120.00
Space group P6_3/mcm (No. 193)
Symmetry-distinct sites (fractional):
1 Tb 0.0000 0.2440 0.2500 (multiplicity 6)
2 Dy 0.3333 0.6667 0.0000 (multiplicity 4)
3 Bi 0.0000 0.3897 0.7500 (multiplicity 6)

The following is a PBE calculation of an optimized crystal structure of Tb2DyBi, from the Alexandria database.

Properties
E_tot   -19.1 eV per formula unit
Polymorph energy (0 for the lowest one)   0.0622 eV/atom
ΔE_f   -350 meV/atom
Crystal system   tetragonal
Size of the total moment   0.000 μB/atom

Lattice parameters (Å, degrees): 4.864 4.864 4.869 90.00 90.00 90.00
Space group P4/mmm (No. 123)
Symmetry-distinct sites (fractional):
1 Tb 0.000 0.500 0.000 (multiplicity 2)
2 Dy 0.000 0.000 0.500 (multiplicity 1)
3 Bi 0.500 0.500 0.500 (multiplicity 1)

The following is a PBE calculation of an optimized crystal structure of Tb7Dy12Bi, from the Alexandria database.

Properties
E_tot   -88.5 eV per formula unit
ΔE_f   151 meV/atom
Crystal system   trigonal
Size of the total moment   0.000 μB/atom

Lattice parameters (Å, degrees): 12.2083 12.2083 15.3702 90.00 90.00 120.00
Space group R-3 (No. 148, hexagonal axes)
Symmetry-distinct sites (fractional):
1 Tb 0.0000 0.0000 0.0000 (multiplicity 3)
2 Tb 0.0166 0.5754 0.7023 (multiplicity 18)
3 Dy 0.0309 0.8437 0.8107 (multiplicity 18)
4 Dy 0.0700 0.2617 0.4214 (multiplicity 18)
5 Bi 0.0000 0.0000 0.5000 (multiplicity 3)

Look up the size of the total moment of the first one.
0.002 μB/atom